Compound: Be2NbFe
Source: the Alexandria database
Functional: PBE-GGA
Structure: optimized geometry

Properties
* energy of formation from the pure elements: -0.30 eV per formula unit
* symmetry: P4/mmm
* crystal system: tetragonal
* ρ: 6.18 Mg/m³
* distance to the lowest polymorph of the same formula: 0 meV per atom
* calculated volume: 44.8 Å³/cell
* M_tot: 1.24 μB per formula unit

Cell lengths 2.7750, 2.7750, 5.8201 Å; angles 90.00, 90.00, 90.00 degrees
Element x y z (fractional)
Be1 0.0000 0.0000 0.1925
Be2 0.0000 0.0000 0.8075
Nb1 0.5000 0.5000 0.5000
Fe1 0.5000 0.5000 0.0000

Compound: Sr3Sb2Pd6Pb
Source: the Alexandria database
Functional: PBE-GGA
Structure: optimized geometry

Properties
* energy relative to the elements, uncorrected: -577 meV/atom
* symmetry: P-3m1
* crystal system: trigonal
* ρ: 7.69 Mg/m³
* calculated volume: 291.8 Å³/cell
* M_tot: 0.00 μB per formula unit

Cell lengths 5.9858, 5.9858, 9.4051 Å; angles 90.00, 90.00, 120.00 degrees
Element x y z (fractional)
Sr1 0.0000 0.0000 0.0000
Sr2 0.3333 0.6667 0.6272
Sr3 0.6667 0.3333 0.3728
Sb1 0.3333 0.6667 0.0537
Sb2 0.6667 0.3333 0.9463
Pd1 0.1726 0.3452 0.2784
Pd2 0.1726 0.8274 0.2784
Pd3 0.3452 0.1726 0.7216
Pd4 0.6548 0.8274 0.2784
Pd5 0.8274 0.1726 0.7216
Pd6 0.8274 0.6548 0.7216
Pb1 0.0000 0.0000 0.5000

Compound: LaHoCoCu
Source: the Alexandria database
Functional: PBE-GGA
Structure: optimized geometry

Properties
* energy of formation from the pure elements: -0.42 eV per formula unit
* symmetry: F-43m
* crystal system: cubic
* ρ: 8.39 Mg/m³
* calculated volume: 84.4 Å³/cell
* M_tot: 0.01 μB per formula unit

Cell lengths 4.9228, 4.9228, 4.9228 Å; angles 60.00, 60.00, 60.00 degrees
Element x y z (fractional)
La1 0.0000 0.0000 0.0000
Ho1 0.5000 0.5000 0.5000
Co1 0.2500 0.2500 0.2500
Cu1 0.7500 0.7500 0.7500

Compound: ZnCuAu2
Source: the Alexandria database
Functional: PBE-GGA
Structure: optimized geometry

Properties
* energy of formation from the pure elements: -0.27 eV per formula unit
* symmetry: C2/m
* crystal system: monoclinic
* ρ: 13.58 Mg/m³
* calculated volume: 63.9 Å³/cell
* M_tot: 0.00 μB per formula unit

Cell lengths 4.6694, 4.6694, 5.0627 Å; angles 100.98, 100.98, 36.24 degrees
Element x y z (fractional)
Zn1 0.0000 0.0000 0.0000
Cu1 0.5000 0.5000 0.5000
Au1 0.2492 0.2492 0.7476
Au2 0.7508 0.7508 0.2524

Compound: SrTcBiO6
Source: the Alexandria database
Functional: PBE-GGA
Structure: optimized geometry

Properties
* energy relative to the elements, uncorrected: -1664 meV/atom
* symmetry: P-31c
* crystal system: trigonal
* ρ: 5.71 Mg/m³
* calculated volume: 285.2 Å³/cell
* M_tot: 0.00 μB per formula unit

Cell lengths 5.6332, 5.6332, 10.3770 Å; angles 90.00, 90.00, 120.00 degrees
Element x y z (fractional)
Sr1 0.0000 0.0000 0.0000
Sr2 0.0000 0.0000 0.5000
Tc1 0.3333 0.6667 0.2500
Tc2 0.6667 0.3333 0.7500
Bi1 0.3333 0.6667 0.7500
Bi2 0.6667 0.3333 0.2500
O1 0.0485 0.3902 0.1448
O2 0.0485 0.6583 0.3552
O3 0.3417 0.3902 0.3552
O4 0.3417 0.9515 0.1448
O5 0.3902 0.0485 0.6448
O6 0.3902 0.3417 0.8552
O7 0.6098 0.6583 0.1448
O8 0.6098 0.9515 0.3552
O9 0.6583 0.0485 0.8552
O10 0.6583 0.6098 0.6448
O11 0.9515 0.3417 0.6448
O12 0.9515 0.6098 0.8552

Compound: NaAgPd2F8
Source: the Alexandria database
Functional: PBE-GGA
Structure: optimized geometry

Properties
* energy relative to the elements, uncorrected: -1506 meV/atom
* symmetry: P2/m
* crystal system: monoclinic
* ρ: 4.61 Mg/m³
* calculated volume: 178.4 Å³/cell
* M_tot: 0.01 μB per formula unit

Cell lengths 5.0545, 6.9275, 5.0965 Å; angles 90.00, 91.82, 90.00 degrees
Element x y z (fractional)
Na1 0.0000 0.0000 0.0000
Ag1 0.0000 0.5000 0.0000
Pd1 0.5000 0.2486 0.5000
Pd2 0.5000 0.7514 0.5000
F1 0.2210 0.2491 0.2193
F2 0.2210 0.7509 0.2193
F3 0.3280 0.0000 0.6686
F4 0.3284 0.5000 0.6683
F5 0.6720 0.0000 0.3314
F6 0.6716 0.5000 0.3317
F7 0.7790 0.2491 0.7807
F8 0.7790 0.7509 0.7807

Compound: NdHo4Lu
Source: the Alexandria database
Functional: PBE-GGA
Structure: optimized geometry

Properties
* energy of formation from the pure elements: 1.62 eV per formula unit
* symmetry: F-43m
* crystal system: cubic
* ρ: 8.21 Mg/m³
* calculated volume: 198.0 Å³/cell
* M_tot: 0.19 μB per formula unit

Cell lengths 6.5427, 6.5427, 6.5427 Å; angles 60.00, 60.00, 60.00 degrees
Element x y z (fractional)
Nd1 0.0000 0.0000 0.0000
Ho1 0.1253 0.6249 0.6249
Ho2 0.6249 0.1253 0.6249
Ho3 0.6249 0.6249 0.1253
Ho4 0.6249 0.6249 0.6249
Lu1 0.2500 0.2500 0.2500

Compound: LiSmDy2Hg4
Source: the Alexandria database
Functional: PBE-GGA
Structure: optimized geometry

Properties
* energy of formation from the pure elements: -3.58 eV per formula unit
* symmetry: R-3m
* crystal system: trigonal
* ρ: 10.73 Mg/m³
* calculated volume: 198.7 Å³/cell
* M_tot: 0.00 μB per formula unit

Cell lengths 9.1919, 9.1919, 9.1919 Å; angles 32.44, 32.44, 32.44 degrees
Element x y z (fractional)
Li1 0.0000 0.0000 0.0000
Sm1 0.5000 0.5000 0.5000
Dy1 0.2562 0.2562 0.2562
Dy2 0.7438 0.7438 0.7438
Hg1 0.1182 0.1182 0.1182
Hg2 0.3735 0.3735 0.3735
Hg3 0.6265 0.6265 0.6265
Hg4 0.8818 0.8818 0.8818

Compound: NaGaSnCl2
Source: the Alexandria database
Functional: PBE-GGA
Structure: optimized geometry

Properties
* energy relative to the elements, uncorrected: -343 meV/atom
* symmetry: P4/mmm
* crystal system: tetragonal
* ρ: 3.31 Mg/m³
* calculated volume: 141.6 Å³/cell
* M_tot: 0.00 μB per formula unit

Cell lengths 4.9455, 4.9455, 5.7893 Å; angles 90.00, 90.00, 90.00 degrees
Element x y z (fractional)
Na1 0.0000 0.0000 0.0000
Ga1 0.0000 0.0000 0.5000
Sn1 0.5000 0.5000 0.5000
Cl1 0.0000 0.5000 0.0000
Cl2 0.5000 0.0000 0.0000

Compound: NdEuRu
Source: the Alexandria database
Functional: PBE-GGA
Structure: optimized geometry

Properties
* energy of formation from the pure elements: -0.13 eV per formula unit
* symmetry: I4mm
* crystal system: tetragonal
* ρ: 7.91 Mg/m³
* distance to the lowest polymorph of the same formula: 0 meV per atom
* calculated volume: 83.4 Å³/cell
* M_tot: 7.07 μB per formula unit

Cell lengths 7.1364, 7.1364, 7.1364 Å; angles 151.35, 151.35, 40.96 degrees
Element x y z (fractional)
Nd1 0.0000 0.0000 0.0000
Eu1 0.7465 0.7465 0.0000
Ru1 0.3826 0.3826 0.0000

Compound: CaSc2CBr
Source: the Alexandria database
Functional: PBE-GGA
Structure: optimized geometry

Properties
* energy relative to the elements, uncorrected: 1366 meV/atom
* symmetry: P4/mmm
* crystal system: tetragonal
* ρ: 2.84 Mg/m³
* calculated volume: 129.9 Å³/cell
* M_tot: 0.00 μB per formula unit

Cell lengths 5.5634, 5.5634, 4.1984 Å; angles 90.00, 90.00, 90.00 degrees
Element x y z (fractional)
Ca1 0.0000 0.0000 0.0000
Sc1 0.0000 0.5000 0.0000
Sc2 0.5000 0.0000 0.0000
C1 0.0000 0.0000 0.5000
Br1 0.5000 0.5000 0.5000

Compound: V2AgGe2
Source: the Alexandria database
Functional: PBE-GGA
Structure: optimized geometry

Properties
* energy of formation from the pure elements: 0.11 eV per formula unit
* symmetry: P4/mbm
* crystal system: tetragonal
* ρ: 7.55 Mg/m³
* distance to the lowest polymorph of the same formula: 0 meV per atom
* calculated volume: 156.3 Å³/cell
* M_tot: 0.00 μB per formula unit

Cell lengths 7.5198, 7.5198, 2.7632 Å; angles 90.00, 90.00, 90.00 degrees
Element x y z (fractional)
V1 0.1162 0.3838 0.0000
V2 0.3838 0.8838 0.0000
V3 0.6162 0.1162 0.0000
V4 0.8838 0.6162 0.0000
Ag1 0.0000 0.0000 0.0000
Ag2 0.5000 0.5000 0.0000
Ge1 0.1787 0.6787 0.5000
Ge2 0.3213 0.1787 0.5000
Ge3 0.6787 0.8213 0.5000
Ge4 0.8213 0.3213 0.5000

Compound: CsTlSn
Source: the Alexandria database
Functional: PBE-GGA
Structure: optimized geometry

Properties
* energy of formation from the pure elements: -0.53 eV per formula unit
* symmetry: P-1
* crystal system: triclinic
* ρ: 6.50 Mg/m³
* calculated volume: 233.1 Å³/cell
* M_tot: 0.00 μB per formula unit

Cell lengths 5.5269, 6.9177, 7.2062 Å; angles 78.67, 67.50, 66.49 degrees
Element x y z (fractional)
Cs1 0.2426 0.1783 0.3371
Cs2 0.7574 0.8217 0.6629
Tl1 0.4086 0.4223 0.7591
Tl2 0.5914 0.5777 0.2409
Sn1 0.0778 0.7754 0.0712
Sn2 0.9222 0.2246 0.9288

Compound: MgMoPd
Source: the Alexandria database
Functional: PBE-GGA
Structure: optimized geometry

Properties
* energy of formation from the pure elements: -0.25 eV per formula unit
* symmetry: C2/m
* crystal system: monoclinic
* ρ: 7.49 Mg/m³
* distance to the lowest polymorph of the same formula: 125 meV per atom
* calculated volume: 100.5 Å³/cell
* M_tot: 0.00 μB per formula unit

Cell lengths 5.3334, 5.3334, 6.5079 Å; angles 110.35, 110.35, 35.68 degrees
Element x y z (fractional)
Mg1 0.1486 0.1486 0.3285
Mg2 0.8514 0.8514 0.6715
Mo1 0.1800 0.1800 0.8659
Mo2 0.8200 0.8200 0.1341
Pd1 0.5000 0.5000 0.0000
Pd2 0.5000 0.5000 0.5000

Compound: LaCdB
Source: the Alexandria database
Functional: PBE-GGA
Structure: optimized geometry

Properties
* energy of formation from the pure elements: 0.54 eV per formula unit
* symmetry: Pm
* crystal system: monoclinic
* ρ: 6.68 Mg/m³
* distance to the lowest polymorph of the same formula: 528 meV per atom
* calculated volume: 130.3 Å³/cell
* M_tot: 0.17 μB per formula unit

Cell lengths 4.3919, 4.1254, 7.1917 Å; angles 90.00, 90.14, 90.00 degrees
Element x y z (fractional)
La1 0.0000 0.0000 0.0000
La2 0.0015 0.5000 0.5011
Cd1 0.4820 0.5000 0.1693
Cd2 0.4833 0.0000 0.6686
B1 0.3877 0.0000 0.3361
B2 0.3989 0.5000 0.8364

Compound: Ba4AsRhI2
Source: the Alexandria database
Functional: PBE-GGA
Structure: optimized geometry

Properties
* energy relative to the elements, uncorrected: -1144 meV/atom
* symmetry: P2/m
* crystal system: monoclinic
* ρ: 4.97 Mg/m³
* calculated volume: 328.0 Å³/cell
* M_tot: 0.01 μB per formula unit

Cell lengths 8.1583, 4.7620, 8.8857 Å; angles 90.00, 108.17, 90.00 degrees
Element x y z (fractional)
Ba1 0.2268 0.0000 0.1969
Ba2 0.2548 0.5000 0.8012
Ba3 0.7452 0.5000 0.1988
Ba4 0.7732 0.0000 0.8031
As1 0.5000 0.0000 0.0000
Rh1 0.0000 0.5000 0.0000
I1 0.0000 0.0000 0.5000
I2 0.5000 0.5000 0.5000

Compound: CaPu5Sb6
Source: the Alexandria database
Functional: PBE-GGA
Structure: optimized geometry

Properties
* energy relative to the elements, uncorrected: -624 meV/atom
* symmetry: C2/m
* crystal system: monoclinic
* ρ: 8.91 Mg/m³
* calculated volume: 371.0 Å³/cell
* M_tot: 24.39 μB per formula unit

Cell lengths 7.6875, 7.6875, 7.6835 Å; angles 99.58, 99.58, 119.97 degrees
Element x y z (fractional)
Ca1 0.0000 0.0000 0.0000
Pu1 0.1632 0.8368 0.5000
Pu2 0.3324 0.6676 0.0000
Pu3 0.5000 0.5000 0.5000
Pu4 0.6676 0.3324 0.0000
Pu5 0.8368 0.1632 0.5000
Sb1 0.0851 0.4256 0.2542
Sb2 0.2571 0.2571 0.7487
Sb3 0.4256 0.0851 0.2542
Sb4 0.5744 0.9149 0.7458
Sb5 0.7429 0.7429 0.2513
Sb6 0.9149 0.5744 0.7458

Compound: LiSn4Ir
Source: the Alexandria database
Functional: PBE-GGA
Structure: optimized geometry

Properties
* energy of formation from the pure elements: -1.83 eV per formula unit
* symmetry: I4/mcm
* crystal system: tetragonal
* ρ: 8.76 Mg/m³
* calculated volume: 255.5 Å³/cell
* M_tot: 0.00 μB per formula unit

Cell lengths 7.4336, 7.4336, 7.4336 Å; angles 126.71, 126.71, 78.73 degrees
Element x y z (fractional)
Li1 0.0000 0.0000 0.0000
Li2 0.5000 0.5000 0.0000
Sn1 0.0231 0.5231 0.8161
Sn2 0.2070 0.0231 0.5000
Sn3 0.2930 0.7930 0.8161
Sn4 0.4769 0.2930 0.5000
Sn5 0.5231 0.7070 0.5000
Sn6 0.7070 0.2070 0.1839
Sn7 0.7930 0.9769 0.5000
Sn8 0.9769 0.4769 0.1839
Ir1 0.2500 0.2500 0.0000
Ir2 0.7500 0.7500 0.0000

Compound: TlHPb2
Source: the Alexandria database
Functional: PBE-GGA
Structure: optimized geometry

Properties
* symmetry: Fm-3m
* crystal system: cubic
* ρ: 10.27 Mg/m³
* distance to the lowest polymorph of the same formula: 260 meV per atom
* calculated volume: 100.2 Å³/cell
* M_tot: 0.00 μB per formula unit

Cell lengths 5.2137, 5.2137, 5.2137 Å; angles 60.00, 60.00, 60.00 degrees
Element x y z (fractional)
Tl1 0.0000 0.0000 0.0000
H1 0.5000 0.5000 0.5000
Pb1 0.2500 0.2500 0.2500
Pb2 0.7500 0.7500 0.7500

Compound: Th4SiIrSe2
Source: the Alexandria database
Functional: PBE-GGA
Structure: optimized geometry

Properties
* energy relative to the elements, uncorrected: -1214 meV/atom
* symmetry: P2/m
* crystal system: monoclinic
* ρ: 10.01 Mg/m³
* calculated volume: 216.7 Å³/cell
* M_tot: 0.00 μB per formula unit

Cell lengths 7.4151, 4.1362, 7.4587 Å; angles 90.00, 108.70, 90.00 degrees
Element x y z (fractional)
Th1 0.2228 0.0000 0.2324
Th2 0.2344 0.5000 0.7467
Th3 0.7656 0.5000 0.2533
Th4 0.7772 0.0000 0.7676
Si1 0.0000 0.0000 0.5000
Ir1 0.0000 0.5000 0.0000
Se1 0.5000 0.0000 0.0000
Se2 0.5000 0.5000 0.5000